No. 1
{"formula": "Ac3Sm5", "functional": "PBE", "state": "optimized geometry", "total_energy_ev_per_fu": -35.59, "spacegroup": "P4/mmm, No. 123", "lattice_angstrom": [[3.804, 0.000, 0.000], [0.000, 3.804, 0.000], [0.000, 0.000, 20.873]], "species": ["Ac", "Ac", "Ac", "Sm", "Sm", "Sm", "Sm", "Sm"], "frac_coords": [[0.000, 0.000, 0.000], [0.500, 0.500, 0.373], [0.500, 0.500, 0.627], [0.000, 0.000, 0.245], [0.000, 0.000, 0.500], [0.000, 0.000, 0.755], [0.500, 0.500, 0.128], [0.500, 0.500, 0.872]]}

No. 2
{"formula": "Rb2BiSb", "functional": "PBE", "state": "optimized geometry", "total_energy_ev_per_fu": -9.92, "spacegroup": "Fm-3m, No. 225", "lattice_angstrom": [[0.000, 4.328, 4.328], [4.328, 0.000, 4.328], [4.328, 4.328, 0.000]], "species": ["Rb", "Rb", "Bi", "Sb"], "frac_coords": [[0.250, 0.250, 0.250], [0.750, 0.750, 0.750], [0.000, 0.000, 0.000], [0.500, 0.500, 0.500]]}

No. 3
{"formula": "Fe3BrCl", "functional": "PBE", "state": "optimized geometry", "total_energy_ev_per_fu": -23.33, "spacegroup": "Pm-3m, No. 221", "lattice_angstrom": [[4.551, 0.000, 0.000], [0.000, 4.551, 0.000], [0.000, 0.000, 4.551]], "species": ["Fe", "Fe", "Fe", "Br", "Cl"], "frac_coords": [[0.000, 0.000, 0.500], [0.000, 0.500, 0.000], [0.500, 0.000, 0.000], [0.000, 0.000, 0.000], [0.500, 0.500, 0.500]]}

No. 4
{"formula": "ScTa4", "functional": "PBE", "state": "optimized geometry", "total_energy_ev_per_fu": -44.32, "spacegroup": "Pm-3m, No. 221", "lattice_angstrom": [[4.674, 0.000, 0.000], [0.000, 4.674, 0.000], [0.000, 0.000, 4.674]], "species": ["Sc", "Ta", "Ta", "Ta", "Ta"], "frac_coords": [[0.000, 0.000, 0.000], [0.000, 0.000, 0.500], [0.000, 0.500, 0.000], [0.500, 0.000, 0.000], [0.500, 0.500, 0.500]]}